The following is a PBE-GGA calculation of TbCeRuPt after structural relaxation, from Alexandria via LeMat-Bulk.

Summary:
energy of formation from the pure elements = -681 meV/atom

a = 4.934 Å, b = 4.934 Å, c = 4.934 Å
α = 60.00°, β = 60.00°, γ = 60.00°
Atoms (fractional coordinates):
1 Ru 0.250 0.250 0.250
2 Tb 0.000 0.000 0.000
3 Ce 0.500 0.500 0.500
4 Pt 0.750 0.750 0.750

=====

The following is a PBE-GGA calculation of CdCSe2 after structural relaxation, from Alexandria via LeMat-Bulk.

Summary:
formation energy without anion corrections = 0.78 eV/atom

a = 5.530 Å, b = 5.530 Å, c = 7.060 Å
α = 66.94°, β = 66.94°, γ = 90.00°
Atoms (fractional coordinates):
1 Se 0.207 0.625 0.250
2 Se 0.543 0.125 0.250
3 Se 0.375 0.457 0.750
4 Se 0.875 0.793 0.750
5 Cd 0.000 0.000 0.000
6 Cd 0.750 0.250 0.500
7 C 0.500 0.500 0.000
8 C 0.250 0.750 0.500

=====

| no. | D(E_F) (states/eV/f.u.) | E_tot (eV for the cell shown) |
| --- | --- | --- |
| 1 | 4.66 | -28.60 |
| 2 | 0.68 | -27.99 |